# 1
The following is a GGA-PBE calculation of a geometry-optimized KLiCd2Ga structure, from the Alexandria database.

```
KLiCd2Ga
1.0
5.3821 0.0000 0.0000
0.0000 5.3821 0.0000
0.0000 0.0000 5.2616
Li Cd Ga K
1 2 1 1
Cartesian
0.0000 0.0000 2.6308
0.0000 2.6911 0.0000
2.6911 0.0000 0.0000
0.0000 0.0000 0.0000
2.6911 2.6911 2.6308
```

- Mass density: 3.71 Mg/m³
- Magnetic moment: 0.000 μB/cell
- Calculated formation energy: -0.02 eV/atom

---

# 2
The following is a GGA-PBE calculation of a geometry-optimized KNaCdGa structure, from the Alexandria database.

```
KNaCdGa
1.0
-5.1968 0.4870 -1.3554
-2.0077 -2.9068 -4.0745
-3.4372 -4.0327 1.0019
K Na Cd Ga
1 1 1 1
Cartesian
-2.6604 -1.6131 -1.1070
-5.3208 -3.2263 -2.2140
0.0000 0.0000 0.0000
-7.9812 -4.8394 -3.3210
```

- Mass density: 3.66 Mg/m³
- Magnetic moment: 0.000 μB/cell
- Calculated formation energy: 0.04 eV/atom

---

# 3
The following is a GGA-PBE calculation of a geometry-optimized KNaCd2Ga structure, from the Alexandria database.

```
KNaCd2Ga
1.0
5.4140 0.0000 0.0000
0.0000 5.4140 0.0000
0.0000 0.0000 5.7203
K Cd Ga Na
1 2 1 1
Cartesian
2.7070 2.7070 2.8601
0.0000 2.7070 0.0000
2.7070 0.0000 0.0000
0.0000 0.0000 0.0000
0.0000 0.0000 2.8601
```

- Mass density: 3.53 Mg/m³
- Magnetic moment: 0.000 μB/cell
- Calculated formation energy: 0.00 eV/atom

---

# 4
The following is a GGA-PBE calculation of a geometry-optimized KCdGa2Ni structure, from the Alexandria database.

```
KCdGa2Ni
1.0
4.7133 0.0000 0.0000
0.0000 4.7133 0.0000
0.0000 0.0000 5.1379
Ga K Ni Cd
2 1 1 1
Cartesian
0.0000 2.3566 0.0000
2.3566 0.0000 0.0000
2.3566 2.3566 2.5689
0.0000 0.0000 0.0000
0.0000 0.0000 2.5689
```

- Mass density: 5.09 Mg/m³
- Magnetic moment: 0.000 μB/cell
- Calculated formation energy: -0.11 eV/atom

---

# 5
The following is a GGA-PBE calculation of a geometry-optimized KCd2GaO4 structure, from the Alexandria database.

```
KCd2GaO4
1.0
5.6394 0.2316 -0.0001
-0.2369 5.6392 -0.0001
-2.7013 -2.9354 3.9713
O Cd K Ga
4 2 1 1
Cartesian
3.8448 1.8830 1.0515
1.5576 3.9877 1.0515
1.0515 1.1427 2.9172
-1.0516 -1.1427 2.9172
-0.1185 2.8196 1.9871
2.8197 0.1158 1.9871
0.0000 0.0000 0.0045
0.0000 0.0000 3.9711
```

- Mass density: 5.22 Mg/m³
- Formation energy without anion corrections: -1.404 eV/atom
- Magnetic moment: 0.000 μB/cell

---

# 6
The following is a GGA-PBE calculation of a geometry-optimized K2CdGaO4 structure, from the Alexandria database.

```
K2CdGaO4
1.0
-0.2964 1.5449 5.8153
3.4176 -2.1627 3.8691
2.9317 4.2618 2.1377
O K Cd Ga
4 2 1 1
Cartesian
0.6932 2.1262 3.9198
0.9622 -0.4186 1.9518
1.8157 4.3384 6.5097
2.2852 -0.8571 5.2561
3.0264 1.8220 5.9110
3.1746 1.0496 3.0034
0.0000 0.0000 0.0000
-0.1482 0.7724 2.9076
```

- Mass density: 4.02 Mg/m³
- Formation energy without anion corrections: -1.234 eV/atom
- Magnetic moment: 1.008 μB/cell

---

# 7
The following is a GGA-PBE calculation of a geometry-optimized KCdGa2Pb structure, from the Alexandria database.

```
KCdGa2Pb
1.0
4.7334 0.0000 0.0000
0.0000 4.8406 0.0000
-2.3667 -2.4203 6.0412
K Cd Ga Pb
1 1 2 1
Cartesian
0.0000 0.0000 5.3942
0.0000 2.4203 2.1827
0.0000 0.0000 0.8370
2.3667 0.0000 2.2044
2.3667 2.4203 4.0272
```

- Mass density: 5.98 Mg/m³
- Magnetic moment: 0.000 μB/cell
- Calculated formation energy: -0.08 eV/atom

---

# 8
The following is a GGA-PBE calculation of a geometry-optimized KCdGaPb structure, from the Alexandria database.

```
KCdGaPb
1.0
5.4342 0.0000 0.0000
2.7171 4.7062 0.0000
2.7171 1.5687 4.4370
Cd Ga Pb K
1 1 1 1
Cartesian
8.1514 4.7062 3.3278
2.7171 1.5687 1.1093
5.4342 3.1375 2.2185
0.0000 0.0000 0.0000
```

- Mass density: 6.27 Mg/m³
- Magnetic moment: 0.000 μB/cell
- Calculated formation energy: 0.02 eV/atom